YEr2Tl after structural relaxation, computed with PBE.

* energy of formation: -0.18 eV/atom
* energy: -4.670 eV/atom

Cell lengths 3.772, 5.220, 12.114 Å; angles 90.00, 98.91, 90.00 degrees
Space group P2_1/m (No. 11)
Unique sites:
Y  0.206  0.250  0.413 x2
Er  0.044  0.750  0.088 x2
Er  0.421  0.750  0.841 x2
Tl  0.339  0.250  0.677 x2